(1)
Er3PuZn4: relaxed, PBE-GGA. Values from VASP.

Structure (Quantum ESPRESSO input):
```
&SYSTEM
  ibrav = 0, nat = 8, ntyp = 3
/
ATOMIC_SPECIES
Zn 65.41 Zn.upf
Er 167.26 Er.upf
Pu 244.00 Pu.upf
CELL_PARAMETERS angstrom
-1.761 -4.625 0.771
1.168 -3.687 -3.182
6.410 -4.540 3.671
ATOMIC_POSITIONS crystal
Zn 0.623 0.623 0.130
Zn 0.126 0.126 0.621
Zn 0.874 0.874 0.379
Zn 0.377 0.377 0.870
Er 0.749 0.749 0.754
Er 0.251 0.251 0.246
Er 0.500 0.500 0.500
Pu 0.000 0.000 0.000
```

Values from the calculation:
SG: No. 166
Formation energy from the elements (eV per atom): -0.27

---

(2)
HoSb2Au: relaxed, PBE-GGA. Values from VASP.

Structure (Quantum ESPRESSO input):
```
&SYSTEM
  ibrav = 0, nat = 4, ntyp = 3
/
ATOMIC_SPECIES
Au 196.97 Au.upf
Sb 121.76 Sb.upf
Ho 164.93 Ho.upf
CELL_PARAMETERS angstrom
4.209 0.000 0.000
0.000 4.764 0.000
0.000 0.000 4.764
ATOMIC_POSITIONS crystal
Au 0.500 0.000 0.000
Sb 0.000 0.500 0.000
Sb 0.000 0.000 0.500
Ho 0.500 0.500 0.500
```

Values from the calculation:
SG: No. 123

---

(3)
LaZrIn2As: relaxed, PBE-GGA. Values from VASP.

Structure (Quantum ESPRESSO input):
```
&SYSTEM
  ibrav = 0, nat = 5, ntyp = 4
/
ATOMIC_SPECIES
La 138.91 La.upf
Zr 91.22 Zr.upf
In 114.82 In.upf
As 74.92 As.upf
CELL_PARAMETERS angstrom
-1.561 1.477 4.813
3.935 -3.250 2.274
3.401 4.025 -0.132
ATOMIC_POSITIONS crystal
La 0.000 0.500 0.000
Zr 0.500 0.500 0.500
In 0.500 0.000 0.000
In 0.000 0.000 0.500
As 0.000 0.000 0.000
```

Values from the calculation:
SG: No. 123
Formation energy from the elements (eV per atom): 0.36

---

(4)
Tm2BeCu6Pt: relaxed, PBE-GGA. Values from VASP.

Structure (Quantum ESPRESSO input):
```
&SYSTEM
  ibrav = 0, nat = 10, ntyp = 4
/
ATOMIC_SPECIES
Cu 63.55 Cu.upf
Pt 195.08 Pt.upf
Tm 168.93 Tm.upf
Be 9.01 Be.upf
CELL_PARAMETERS angstrom
5.945 0.309 -1.000
0.445 6.369 -1.456
2.399 2.431 3.390
ATOMIC_POSITIONS crystal
Cu 0.222 0.229 0.022
Cu 0.779 0.771 0.474
Cu 0.583 0.079 0.170
Cu 0.778 0.771 0.978
Cu 0.417 0.921 0.830
Cu 0.221 0.229 0.526
Pt 0.500 0.500 0.000
Tm 0.752 0.309 0.470
Tm 0.248 0.691 0.530
Be 0.000 0.000 0.000
```

Values from the calculation:
SG: No. 2
Formation energy from the elements (eV per atom): -0.22

---

Number 1: final energy -35.271 eV for the cell shown, DOS(E_F) 1.019 states/eV per atom, total moment 0.8051 μB per atom. Number 2: final energy -18.229 eV for the cell shown, DOS(E_F) 0.445 states/eV per atom, total moment 0.0000 μB per atom. Number 3: final energy -21.790 eV for the cell shown, DOS(E_F) 0.938 states/eV per atom, total moment 0.3525 μB per atom. Number 4: final energy -45.438 eV for the cell shown, DOS(E_F) 0.502 states/eV per atom, total moment 0.0000 μB per atom.